No. 1
Compound: SrIn2Cl
Source: the Alexandria database
Functional: GGA-PBE
Structure: optimized geometry

- energy above the lowest structure with this stoichiometry (meV per atom) = 170
- calculated total energy (eV per atom) = -2.902
- E_form (uncorrected) (meV per atom) = -650.3

Cell: 6.3974 6.3974 6.3974 Å, 144.39 123.18 68.88°
Positions (direct):
Sr 0.0000 0.0000 0.0000
In 0.4612 0.4612 0.0000
In 0.7273 0.2273 0.5000
Cl 0.1947 0.6947 0.5000

No. 2
Compound: Eu2PbSe
Source: the Alexandria database
Functional: GGA-PBE
Structure: optimized geometry

- energy above the lowest structure with this stoichiometry (meV per atom) = 60
- calculated total energy (eV per atom) = -8.060
- E_form (uncorrected) (meV per atom) = -1124.4

Cell: 3.7017 3.7017 8.4638 Å, 90.00 90.00 90.00°
Positions (direct):
Eu 0.0000 0.0000 0.2167
Eu 0.0000 0.0000 0.7833
Pb 0.5000 0.5000 0.5000
Se 0.5000 0.5000 0.0000

No. 3
Compound: TbSm6HoTm2
Source: the Alexandria database
Functional: GGA-PBE
Structure: optimized geometry

- formation enthalpy at 0 K (eV per atom) = 0.119
- calculated total energy (eV per atom) = -4.528

Cell: 8.8542 8.8542 9.5540 Å, 93.71 93.71 117.53°
Positions (direct):
Tb 0.0280 0.9720 0.7500
Tb 0.9720 0.0280 0.2500
Sm 0.0117 0.5629 0.6850
Sm 0.1172 0.7600 0.0545
Sm 0.2400 0.8828 0.4455
Sm 0.2924 0.5109 0.8816
Sm 0.4371 0.9883 0.8150
Sm 0.4891 0.7076 0.6184
Sm 0.5109 0.2924 0.3816
Sm 0.5629 0.0117 0.1850
Sm 0.7076 0.4891 0.1184
Sm 0.7600 0.1172 0.5545
Sm 0.8828 0.2400 0.9455
Sm 0.9883 0.4371 0.3150
Ho 0.4103 0.5897 0.2500
Ho 0.5897 0.4103 0.7500
Tm 0.2009 0.3004 0.5465
Tm 0.3004 0.2009 0.0465
Tm 0.6996 0.7991 0.9535
Tm 0.7991 0.6996 0.4535